[1]
VASP calculation (PBEsol) on a geometry-optimized Ir4Cl3 structure.

Cell: 4.5056 4.5056 7.6970 Å, 90.00 90.00 120.00°
Last column: magnetic moment on the atom in μB.
Fractional coordinates of all 7 atoms:
1 Cl 0.0000 0.5000 0.0000  0.00
2 Cl 0.5000 0.0000 0.0000  0.00
3 Cl 0.5000 0.5000 0.0000  0.00
4 Ir 0.0000 0.0000 0.6527  0.19
5 Ir 0.0000 0.0000 0.3473  0.19
6 Ir 0.3333 0.6667 0.5000  0.01
7 Ir 0.6667 0.3333 0.5000  0.01

Summary:
* space group: No. 191
* total energy: -5.0116 eV per atom

[2]
VASP calculation (PBEsol) on a geometry-optimized Sr2MgMoO6 structure.

Cell: 5.5397 5.5786 5.5397 Å, 60.23 90.00 119.77°
Fractional coordinates of all 10 atoms:
1 Sr 0.7500 0.5000 0.7500
2 Sr 0.2500 0.5000 0.2500
3 Mo 0.5000 0.0000 0.5000
4 Mg 0.0000 0.0000 0.0000
5 O 0.2588 0.5176 0.7412
6 O 0.7412 0.4824 0.2588
7 O 0.7799 0.0000 0.7013
8 O 0.2987 0.0000 0.7799
9 O 0.2201 0.0000 0.2987
10 O 0.7013 0.0000 0.2201

Summary:
* space group: No. 87
* total energy: -7.5705 eV per atom

[3]
VASP calculation (PBEsol) on a geometry-optimized BaHfRe3 structure.

Cell: 4.8505 4.8505 4.8505 Å, 90.00 90.00 90.00°
Fractional coordinates of all 5 atoms:
1 Re 0.0000 0.5000 0.0000
2 Re 0.0000 0.0000 0.5000
3 Re 0.5000 0.0000 0.0000
4 Hf 0.5000 0.5000 0.5000
5 Ba 0.0000 0.0000 0.0000

Summary:
* formation enthalpy at 0 K: 3.478 eV/atom
* space group: No. 221

Number 1: magnetization 0.4 μB/f.u.. Number 2: magnetization 0.0 μB/f.u.. Number 3: magnetization 0.0 μB/f.u..